(1)
DFT (PBE) results for Ta3MnRu4 after structural relaxation.

Cell: 3.266 4.368 8.725 Å, 90.00 90.00 90.00°
Atoms (fractional coordinates):
1 Ta 0.500 0.500 0.500
2 Ta 0.500 0.000 0.237
3 Ta 0.500 0.000 0.763
4 Ru 0.000 0.000 0.500
5 Ru 0.000 0.500 0.746
6 Ru 0.000 0.000 0.000
7 Ru 0.000 0.500 0.254
8 Mn 0.500 0.500 0.000

## Properties
Final energy = -10.547 eV per atom
Space-group type = Pmmm
DFT formation energy = -2.55 eV/f.u.

---

(2)
DFT (PBE) results for TaMn2Ru after structural relaxation.

Cell: 4.824 4.824 4.824 Å, 134.62 134.62 66.12°
Atoms (fractional coordinates):
1 Mn 0.250 0.750 0.500
2 Mn 0.000 0.000 0.000
3 Ta 0.750 0.250 0.500
4 Ru 0.500 0.500 0.000

## Properties
Final energy = -9.821 eV per atom
Space-group type = I-4m2
DFT formation energy = 0.18 eV/f.u.
Offset from the most stable computed form = 0.64 eV/f.u.

---

(3)
DFT (PBE) results for TaMn3Ru after structural relaxation.

Cell: 4.475 4.475 4.475 Å, 90.00 90.00 90.00°
Atoms (fractional coordinates):
1 Mn 0.500 0.000 0.000
2 Mn 0.000 0.500 0.000
3 Mn 0.000 0.000 0.500
4 Ru 0.000 0.000 0.000
5 Ta 0.500 0.500 0.500

## Properties
Final energy = -8.369 eV per atom
Space-group type = Pm-3m
DFT formation energy = 6.79 eV/f.u.
Offset from the most stable computed form = 0.00 eV/f.u.

---

(4)
DFT (PBE) results for TaMn2Ru after structural relaxation.

Cell: 8.860 8.860 8.860 Å, 17.90 17.90 17.90°
Atoms (fractional coordinates):
1 Ru 0.507 0.507 0.507
2 Ta 0.749 0.749 0.749
3 Mn 0.250 0.250 0.250
4 Mn 0.994 0.994 0.994

## Properties
Final energy = -9.632 eV per atom
Space-group type = R3m
DFT formation energy = 0.94 eV/f.u.
Offset from the most stable computed form = 1.40 eV/f.u.

---

(5)
DFT (PBE) results for TaMnRu5 after structural relaxation.

Cell: 4.210 4.210 5.955 Å, 90.00 90.00 90.00°
Atoms (fractional coordinates):
1 Ta 0.000 0.000 0.500
2 Ru 0.500 0.000 0.784
3 Ru 0.000 0.500 0.216
4 Ru 0.500 0.000 0.216
5 Ru 0.000 0.500 0.784
6 Ru 0.500 0.500 0.500
7 Mn 0.500 0.500 0.000

## Properties
Final energy = -9.441 eV per atom
Space-group type = P4/mmm
DFT formation energy = 1.31 eV/f.u.

---

(6)
DFT (PBE) results for TaMnTc2Ru after structural relaxation.

Cell: 4.599 4.290 4.599 Å, 90.00 90.00 90.00°
Atoms (fractional coordinates):
1 Ta 0.500 0.500 0.500
2 Tc 0.500 0.000 0.000
3 Tc 0.000 0.000 0.500
4 Mn 0.000 0.500 0.000
5 Ru 0.000 0.000 0.000

## Properties
Final energy = -8.644 eV per atom
Space-group type = P4/mmm
DFT formation energy = 7.81 eV/f.u.

---

> Which of these has the highest DFT formation energy?

TaMnTc2Ru